(1)
Here is crystalline NdAl2Pt3 at its relaxed geometry from the Alexandria database. Energies are from GGA-PBE.

a = 10.071 Å, b = 8.179 Å, c = 5.455 Å
α = 90.00°, β = 90.00°, γ = 90.00°
Space group Cmcm (No. 63)
Unique sites:
Nd  0.000  0.174  0.250 x4
Al  0.214  0.500  0.000 x8
Pt  0.000  0.464  0.750 x4
Pt  0.168  0.203  0.750 x8

Formation energy from the elements = -1.053 eV/atom
Raw total energy = -146.8 eV for the cell shown

***

(2)
Here is crystalline Cd12Bi3O5 at its relaxed geometry from the Alexandria database. Energies are from GGA-PBE.

a = 15.378 Å, b = 15.378 Å, c = 15.378 Å
α = 90.00°, β = 90.00°, γ = 90.00°
Space group Ia-3d (No. 230)
Unique sites:
Cd  0.041  0.055  0.643 x96
Bi  0.000  0.250  0.125 x24
O  0.000  0.000  0.000 x16
O  0.000  0.250  0.375 x24

Raw total energy = -432.8 eV for the cell shown
Uncorrected formation energy = -0.33 eV per atom

***

(3)
Here is crystalline DyBe2Pd2Pt at its relaxed geometry from the Alexandria database. Energies are from GGA-PBE.

a = 4.224 Å, b = 4.224 Å, c = 5.544 Å
α = 90.00°, β = 90.00°, γ = 90.00°
Space group P4/mmm (No. 123)
Unique sites:
Dy  0.000  0.000  0.000 x1
Be  0.000  0.500  0.500 x2
Pd  0.500  0.500  0.251 x2
Pt  0.000  0.000  0.500 x1

Formation energy from the elements = -0.569 eV/atom
Raw total energy = -31.9 eV for the cell shown

***

(4)
Here is crystalline Dy2YPa at its relaxed geometry from the Alexandria database. Energies are from GGA-PBE.

a = 4.941 Å, b = 4.941 Å, c = 4.867 Å
α = 90.00°, β = 90.00°, γ = 90.00°
Space group P4/mmm (No. 123)
Unique sites:
Dy  0.000  0.500  0.000 x2
Y  0.000  0.000  0.500 x1
Pa  0.500  0.500  0.500 x1

Formation energy from the elements = 0.222 eV/atom
Raw total energy = -24.3 eV for the cell shown
E above lowest polymorph = 2.41 kcal/mol of atoms